# Sm3Zr3NiTe2

A relaxed Sm3Zr3NiTe2 crystal (GGA-PBE, OQMD via LeMat-Bulk).

a = 8.2681 Å, b = 8.2681 Å, c = 3.6961 Å
α = 90.00°, β = 90.00°, γ = 120.00°
Element x y z (fractional)
Sm (0.0000, 0.2461, 0.0000)
Sm (0.2461, 0.0000, 0.0000)
Sm (0.7539, 0.7539, 0.0000)
Zr (0.0000, 0.5874, 0.5000)
Zr (0.4126, 0.4126, 0.5000)
Zr (0.5874, 0.0000, 0.5000)
Ni (0.0000, 0.0000, 0.5000)
Te (0.3333, 0.6667, 0.0000)
Te (0.6667, 0.3333, 0.0000)

## Properties
Volume ... 24.31 Å³/atom
Final energy ... -6.19 eV/atom

---

# SmTlNi

A relaxed SmTlNi crystal (GGA-PBE, OQMD via LeMat-Bulk).

a = 6.7968 Å, b = 6.7968 Å, c = 6.7968 Å
α = 90.00°, β = 90.00°, γ = 90.00°
Element x y z (fractional)
Sm (0.0000, 0.0000, 0.0000)
Sm (0.0000, 0.5000, 0.5000)
Sm (0.5000, 0.0000, 0.5000)
Sm (0.5000, 0.5000, 0.0000)
Tl (0.2500, 0.2500, 0.7500)
Tl (0.2500, 0.7500, 0.2500)
Tl (0.7500, 0.2500, 0.2500)
Tl (0.7500, 0.7500, 0.7500)
Ni (0.0000, 0.0000, 0.5000)
Ni (0.0000, 0.5000, 0.0000)
Ni (0.5000, 0.0000, 0.0000)
Ni (0.5000, 0.5000, 0.5000)

## Properties
Volume ... 26.17 Å³/atom
Final energy ... -3.95 eV/atom

---

What did the second record say?
# SmTlNi

A relaxed SmTlNi crystal (GGA-PBE, OQMD via LeMat-Bulk).

a = 6.7968 Å, b = 6.7968 Å, c = 6.7968 Å
α = 90.00°, β = 90.00°, γ = 90.00°
Element x y z (fractional)
Sm (0.0000, 0.0000, 0.0000)
Sm (0.0000, 0.5000, 0.5000)
Sm (0.5000, 0.0000, 0.5000)
Sm (0.5000, 0.5000, 0.0000)
Tl (0.2500, 0.2500, 0.7500)
Tl (0.2500, 0.7500, 0.2500)
Tl (0.7500, 0.2500, 0.2500)
Tl (0.7500, 0.7500, 0.7500)
Ni (0.0000, 0.0000, 0.5000)
Ni (0.0000, 0.5000, 0.0000)
Ni (0.5000, 0.0000, 0.0000)
Ni (0.5000, 0.5000, 0.5000)

## Properties
Volume ... 26.17 Å³/atom
Final energy ... -3.95 eV/atom

---

Q: What is the final energy in the first record?
A: -6.19 eV/atom

---

Q: What is the volume in the second record?
A: 26.17 Å³/atom

---

Q: Look up the volume of the first one.
A: 24.31 Å³/atom